The following is a GGA-PBE calculation of ReTeH2 after structural relaxation, from Alexandria via LeMat-Bulk.

## Properties
- Volume: 46 Å³/cell
- Spin magnetization: 0.000 μB per atom
- Polymorph energy (0 for the lowest one): 590 meV/atom
- Symmetry: Fm-3m (225)

a = 4.0104 Å, b = 4.0104 Å, c = 4.0104 Å
α = 60.00°, β = 60.00°, γ = 60.00°
Closest atoms and distances in Å follow each position.
Sites, in units of the cell vectors:
Re (0.5000, 0.5000, 0.5000)  8 H 2.46
Te (0.0000, 0.0000, 0.0000)  8 H 2.46
H (0.2500, 0.2500, 0.2500)  4 Re 2.46, 4 Te 2.46
H (0.7500, 0.7500, 0.7500)  4 Re 2.46, 4 Te 2.46


The following is a GGA-PBE calculation of ReTe2H after structural relaxation, from Alexandria via LeMat-Bulk.

## Properties
- Volume: 72 Å³/cell
- Spin magnetization: 0.000 μB per atom
- Polymorph energy (0 for the lowest one): 411 meV/atom
- Symmetry: R-3m (166)

a = 8.9977 Å, b = 8.9977 Å, c = 8.9977 Å
α = 19.70°, β = 19.70°, γ = 19.70°
Closest atoms and distances in Å follow each position.
Sites, in units of the cell vectors:
Re (0.0000, 0.0000, 0.0000)  2 Te 2.66
Te (0.8995, 0.8995, 0.8995)  3 H 2.50, 1 Re 2.66
Te (0.1005, 0.1005, 0.1005)  3 H 2.50, 1 Re 2.66
H (0.5000, 0.5000, 0.5000)  6 Te 2.50


The following is a GGA-PBE calculation of ReTe2H after structural relaxation, from Alexandria via LeMat-Bulk.

## Properties
- Volume: 178 Å³/cell
- Spin magnetization: 0.000 μB per atom
- Polymorph energy (0 for the lowest one): 11 meV/atom
- Symmetry: I-42d (122)

a = 5.6574 Å, b = 5.6574 Å, c = 6.8549 Å
α = 65.63°, β = 65.63°, γ = 90.00°
Closest atoms and distances in Å follow each position.
Sites, in units of the cell vectors:
Re (0.0000, 0.0000, 0.0000)  4 Te 2.56
Re (0.7500, 0.2500, 0.5000)  4 Te 2.56
Te (0.5901, 0.1250, 0.2500)  2 H 2.33, 2 Re 2.56
Te (0.1599, 0.6250, 0.2500)  2 H 2.33, 2 Re 2.56
Te (0.3750, 0.4099, 0.7500)  2 H 2.33, 2 Re 2.56
Te (0.8750, 0.8401, 0.7500)  2 H 2.33, 2 Re 2.56
H (0.5000, 0.5000, 0.0000)  4 Te 2.33
H (0.2500, 0.7500, 0.5000)  4 Te 2.33


The following is a GGA-PBE calculation of ReTe3H after structural relaxation, from Alexandria via LeMat-Bulk.

## Properties
- Volume: 94 Å³/cell
- Spin magnetization: 0.088 μB per atom
- Energy: -18.8 eV per cell
- Symmetry: Pm-3m (221)

a = 4.5530 Å, b = 4.5530 Å, c = 4.5530 Å
α = 90.00°, β = 90.00°, γ = 90.00°
Closest atoms and distances in Å follow each position.
Sites, in units of the cell vectors:
Re (0.5000, 0.5000, 0.5000)  12 Te 3.22
Te (0.0000, 0.5000, 0.0000)  2 H 2.28
Te (0.0000, 0.0000, 0.5000)  2 H 2.28
Te (0.5000, 0.0000, 0.0000)  2 H 2.28
H (0.0000, 0.0000, 0.0000)  6 Te 2.28


The following is a GGA-PBE calculation of ReTeH3 after structural relaxation, from Alexandria via LeMat-Bulk.

## Properties
- Volume: 50 Å³/cell
- Spin magnetization: 0.000 μB per atom
- Polymorph energy (0 for the lowest one): 0 meV/atom
- Symmetry: Pm-3m (221)

a = 3.6914 Å, b = 3.6914 Å, c = 3.6914 Å
α = 90.00°, β = 90.00°, γ = 90.00°
Closest atoms and distances in Å follow each position.
Sites, in units of the cell vectors:
Re (0.0000, 0.0000, 0.0000)  6 H 1.85
Te (0.5000, 0.5000, 0.5000)  12 H 2.61
H (0.0000, 0.5000, 0.0000)  2 Re 1.85
H (0.0000, 0.0000, 0.5000)  2 Re 1.85
H (0.5000, 0.0000, 0.0000)  2 Re 1.85


The following is a GGA-PBE calculation of Re3TeH after structural relaxation, from Alexandria via LeMat-Bulk.

## Properties
- Volume: 68 Å³/cell
- Spin magnetization: 0.166 μB per atom
- Energy: -39.3 eV per cell
- Symmetry: Pm-3m (221)

a = 4.0767 Å, b = 4.0767 Å, c = 4.0767 Å
α = 90.00°, β = 90.00°, γ = 90.00°
Closest atoms and distances in Å follow each position.
Sites, in units of the cell vectors:
Re (0.0000, 0.5000, 0.0000)  2 H 2.04
Re (0.0000, 0.0000, 0.5000)  2 H 2.04
Re (0.5000, 0.0000, 0.0000)  2 H 2.04
Te (0.5000, 0.5000, 0.5000)  12 Re 2.88
H (0.0000, 0.0000, 0.0000)  6 Re 2.04